[1]
Below is a PBEsol-optimized structure of ZrAlFe2, with properties calculated at the meta-GGA SCAN level.

a = 4.3403 Å, b = 4.3403 Å, c = 4.3403 Å
α = 60.00°, β = 60.00°, γ = 60.00°
Fractional positions:
Fe 0.7500 0.7500 0.7500
Fe 0.0000 0.0000 0.0000
Al 0.5000 0.5000 0.5000
Zr 0.2500 0.2500 0.2500

The uncorrected energy is -75.379 eV for the cell shown. The density of states at the Fermi level is 1.162 states/eV/f.u. The total moment is 5.059 Bohr magnetons per cell. As for the space-group type: No. 216.



[2]
Below is a PBEsol-optimized structure of Tl3Hg2, with properties calculated at the meta-GGA SCAN level.

a = 4.9361 Å, b = 4.9361 Å, c = 6.8308 Å
α = 90.00°, β = 90.00°, γ = 120.00°
Fractional positions:
Tl 0.0000 0.0000 0.0000
Tl 0.3333 0.6667 0.3531
Tl 0.6667 0.3333 0.6469
Hg 0.3333 0.6667 0.8207
Hg 0.6667 0.3333 0.1793

The uncorrected energy is -353.361 eV for the cell shown. The density of states at the Fermi level is 1.882 states/eV/f.u. The total moment is 0.000 Bohr magnetons per cell. As for the space-group type: No. 164.



[3]
Below is a PBEsol-optimized structure of Pb2IO2, with properties calculated at the meta-GGA SCAN level.

a = 3.9935 Å, b = 3.9935 Å, c = 7.3203 Å
α = 105.83°, β = 105.83°, γ = 90.00°
Fractional positions:
O 0.2500 0.7500 0.5000
O 0.7500 0.2500 0.5000
Pb 0.3387 0.3387 0.6775
Pb 0.6613 0.6613 0.3225
I 0.0000 0.0000 0.0000

The uncorrected energy is -205.346 eV for the cell shown. The value obtained for the uncorrected formation energy is -442 kJ/mol of formula units. The density of states at the Fermi level is 2.111 states/eV/f.u. The total moment is 0.001 Bohr magnetons per cell. As for the space-group type: No. 139.



[4]
Below is a PBEsol-optimized structure of Sc3CdP, with properties calculated at the meta-GGA SCAN level.

a = 5.1005 Å, b = 5.1005 Å, c = 5.1005 Å
α = 90.00°, β = 90.00°, γ = 90.00°
Fractional positions:
Sc 0.5000 0.0000 0.0000
Sc 0.0000 0.0000 0.5000
Sc 0.0000 0.5000 0.0000
Cd 0.0000 0.0000 0.0000
P 0.5000 0.5000 0.5000

The uncorrected energy is -81.543 eV for the cell shown. The density of states at the Fermi level is 1.816 states/eV/f.u. The total moment is 0.000 Bohr magnetons per cell. As for the space-group type: No. 221.



no.,mass density (g/cm3)
1,6.60
2,11.69
3,8.84
4,3.48